No. 1
First-principles (PBE) data for an optimized crystal structure of InICl2, as listed in the Alexandria database.

Lattice parameters (Å, degrees): 10.137 11.250 7.262 90.00 128.94 90.00
Space group Cc (No. 9)
Symmetry-distinct sites (fractional):
In (0.000, 0.070, 0.000) [4 per cell]
I (0.226, 0.088, 0.859) [4 per cell]
Cl (0.295, 0.472, 0.613) [4 per cell]
Cl (0.478, 0.222, 0.519) [4 per cell]

Calculated values
Spin magnetization ... 0.00 μB/f.u.
E_form (uncorrected) ... -82 kJ/mol of atoms
Total energy ... -2.850 eV/atom


No. 2
First-principles (PBE) data for an optimized crystal structure of PmY4Se6, as listed in the Alexandria database.

Lattice parameters (Å, degrees): 4.029 13.430 20.837 90.00 90.00 90.00
Space group Cmcm (No. 63)
Symmetry-distinct sites (fractional):
Pm (0.000, 0.154, 0.250) [4 per cell]
Y (0.000, 0.090, 0.627) [8 per cell]
Y (0.000, 0.359, 0.538) [8 per cell]
Se (0.000, 0.000, 0.000) [4 per cell]
Se (0.000, 0.186, 0.750) [4 per cell]
Se (0.000, 0.268, 0.091) [8 per cell]
Se (0.000, 0.449, 0.665) [8 per cell]

Calculated values
Spin magnetization ... 0.00 μB/f.u.
E_form (uncorrected) ... -178 kJ/mol of atoms
Total energy ... -6.529 eV/atom


No. 3
First-principles (PBE) data for an optimized crystal structure of CsCuSi2, as listed in the Alexandria database.

Lattice parameters (Å, degrees): 4.236 7.387 6.492 90.00 90.00 90.00
Space group Pmn2_1 (No. 31)
Symmetry-distinct sites (fractional):
Cs (0.000, 0.099, 0.000) [2 per cell]
Cu (0.000, 0.525, 0.807) [2 per cell]
Si (0.000, 0.373, 0.466) [2 per cell]
Si (0.000, 0.619, 0.177) [2 per cell]

Calculated values
Spin magnetization ... 0.00 μB/f.u.
E_form (uncorrected) ... 8 kJ/mol of atoms
Total energy ... -3.863 eV/atom


No. 4
First-principles (PBE) data for an optimized crystal structure of La10Pr3In3, as listed in the Alexandria database.

Lattice parameters (Å, degrees): 9.9097 9.9097 6.5577 90.00 90.00 120.00
Space group P-62m (No. 189)
Symmetry-distinct sites (fractional):
La (0.0000, 0.2351, 0.0000) [3 per cell]
La (0.0000, 0.7719, 0.5000) [3 per cell]
La (0.3333, 0.6667, 0.2292) [4 per cell]
Pr (0.0000, 0.4120, 0.5000) [3 per cell]
In (0.0000, 0.5960, 0.0000) [3 per cell]

Calculated values
Spin magnetization ... 0.00 μB/f.u.
Total energy ... -4.620 eV/atom
DFT formation energy ... -131 meV per atom


No. 5
First-principles (PBE) data for an optimized crystal structure of La4SnPI2, as listed in the Alexandria database.

Lattice parameters (Å, degrees): 7.821 4.453 8.195 90.00 108.24 90.00
Space group P2/m (No. 10)
Symmetry-distinct sites (fractional):
La (0.214, 0.000, 0.200) [2 per cell]
La (0.240, 0.500, 0.789) [2 per cell]
Sn (0.500, 0.000, 0.000) [1 per cell]
P (0.000, 0.500, 0.000) [1 per cell]
I (0.000, 0.000, 0.500) [1 per cell]
I (0.500, 0.500, 0.500) [1 per cell]

Calculated values
Spin magnetization ... 0.00 μB/f.u.
E_form (uncorrected) ... -116 kJ/mol of atoms
Total energy ... -5.231 eV/atom


No. 6
First-principles (PBE) data for an optimized crystal structure of ZrW5, as listed in the Alexandria database.

Lattice parameters (Å, degrees): 10.262 3.215 6.483 90.00 108.57 90.00
Space group C2/m (No. 12)
Symmetry-distinct sites (fractional):
Zr (0.000, 0.000, 0.000) [2 per cell]
W (0.000, 0.000, 0.500) [2 per cell]
W (0.170, 0.500, 0.828) [4 per cell]
W (0.171, 0.500, 0.342) [4 per cell]

Calculated values
Spin magnetization ... 0.00 μB/f.u.
Total energy ... -12.192 eV/atom
DFT formation energy ... 27 meV per atom